[1]
Ho5Au3 (GGA-PBE, optimized geometry); space group = I4/mcm; Fermi-level density of states = 1.301 states/eV per atom; E_tot = -75.78 eV for the cell shown
1.0
6.629 0.000 -3.240
-1.583 6.438 -3.240
0.368 0.470 9.156
Ho Au
10 6
direct
0.500 0.500 0.000 Ho
0.016 0.182 0.698 Ho
0.000 0.000 0.000 Ho
0.516 0.016 0.698 Ho
0.182 0.682 0.698 Ho
0.818 0.318 0.302 Ho
0.484 0.984 0.302 Ho
0.682 0.516 0.698 Ho
0.984 0.818 0.302 Ho
0.318 0.484 0.302 Ho
0.750 0.750 0.500 Au
0.636 0.864 0.000 Au
0.864 0.364 0.000 Au
0.364 0.136 0.000 Au
0.250 0.250 0.500 Au
0.136 0.636 0.000 Au

***

[2]
HoAu2 (GGA-PBE, optimized geometry); space group = Fd-3m; Fermi-level density of states = 0.954 states/eV per atom; E_tot = -25.44 eV for the cell shown
1.0
-5.454 -0.870 -1.209
-1.651 -0.544 -5.380
-1.698 -5.031 -1.941
Au Ho
4 2
direct
0.625 0.125 0.625 Au
0.625 0.625 0.125 Au
0.625 0.625 0.625 Au
0.125 0.625 0.625 Au
0.250 0.250 0.250 Ho
0.000 0.000 0.000 Ho

***

[3]
HoAu4 (GGA-PBE, optimized geometry); space group = I4/m; Fermi-level density of states = 0.270 states/eV per atom; E_tot = -20.67 eV for the cell shown
1.0
-3.456 -2.040 1.286
-3.015 -1.726 -3.927
0.707 -5.165 0.604
Ho Au
1 4
direct
0.000 0.000 0.000 Ho
0.401 0.799 0.400 Au
0.801 0.599 0.798 Au
0.199 0.401 0.202 Au
0.599 0.201 0.600 Au

***

[4]
HoAu2 (GGA-PBE, optimized geometry); space group = I4/mmm; Fermi-level density of states = 0.426 states/eV per atom; E_tot = -13.75 eV for the cell shown
1.0
3.728 -0.001 0.001
-0.001 3.728 0.001
-1.862 -1.862 4.533
Ho Au
1 2
direct
0.500 0.500 0.000 Ho
0.164 0.164 0.329 Au
0.836 0.836 0.671 Au

***

[5]
Ho5Au6 (GGA-PBE, optimized geometry); space group = Immm; Fermi-level density of states = 0.741 states/eV per atom; E_tot = -50.97 eV for the cell shown
1.0
4.714 0.005 -1.459
-0.842 6.732 -2.700
0.096 -0.478 8.652
Ho Au
5 6
direct
0.353 0.853 0.707 Ho
0.647 0.147 0.293 Ho
0.672 0.672 0.344 Ho
0.328 0.328 0.656 Ho
0.000 0.500 0.000 Ho
0.178 0.447 0.356 Au
0.178 0.910 0.356 Au
0.822 0.553 0.644 Au
0.822 0.090 0.644 Au
0.500 0.277 0.000 Au
0.500 0.723 0.000 Au

***

[6]
Ho3Au4 (GGA-PBE, optimized geometry); space group = R-3m; Fermi-level density of states = 0.670 states/eV per atom; E_tot = -31.87 eV for the cell shown
1.0
0.931 -4.828 -0.611
3.804 -1.451 -2.823
6.482 -1.976 5.402
Au Ho
4 3
direct
0.634 0.634 0.098 Au
0.880 0.880 0.360 Au
0.120 0.120 0.640 Au
0.366 0.366 0.902 Au
0.759 0.759 0.723 Ho
0.241 0.241 0.277 Ho
0.000 0.000 0.000 Ho

***

[7]
HoAu4 (GGA-PBE, optimized geometry); space group = Pm-3m; Fermi-level density of states = 0.381 states/eV per atom; E_tot = -14.52 eV for the cell shown
1.0
5.376 0.000 0.000
0.000 5.376 0.000
0.000 0.000 5.376
Au Ho
4 1
direct
0.000 0.000 0.000 Au
0.000 0.500 0.500 Au
0.500 0.000 0.500 Au
0.500 0.500 0.000 Au
0.500 0.500 0.500 Ho

***

[8]
HoAu6 (GGA-PBE, optimized geometry); space group = Im-3m; Fermi-level density of states = 0.617 states/eV per atom; E_tot = -20.75 eV for the cell shown
1.0
-3.769 4.464 -2.604
0.949 -4.714 -4.218
-2.801 -2.362 5.243
Au Ho
6 1
direct
0.750 0.250 0.500 Au
0.500 0.250 0.750 Au
0.500 0.750 0.250 Au
0.250 0.750 0.500 Au
0.750 0.500 0.250 Au
0.250 0.500 0.750 Au
0.000 0.000 0.000 Ho

***

[9]
Ho6Au5 (GGA-PBE, optimized geometry); space group = Immm; Fermi-level density of states = 0.574 states/eV per atom; E_tot = -52.23 eV for the cell shown
1.0
-4.688 -1.582 -0.867
0.238 2.874 -6.526
4.936 -7.161 0.926
Ho Au
6 5
direct
0.165 0.915 0.331 Ho
0.165 0.415 0.331 Ho
0.835 0.585 0.669 Ho
0.500 0.749 0.000 Ho
0.500 0.251 0.000 Ho
0.835 0.085 0.669 Ho
0.671 0.671 0.342 Au
0.342 0.842 0.684 Au
0.000 0.500 0.000 Au
0.329 0.329 0.658 Au
0.658 0.158 0.316 Au

***

[10]
HoAu3 (GGA-PBE, optimized geometry); space group = Pmmn; Fermi-level density of states = 0.285 states/eV per atom; E_tot = -34.61 eV for the cell shown
1.0
5.005 0.000 0.000
0.000 5.131 0.000
0.000 0.000 6.255
Au Ho
6 2
direct
0.000 0.329 0.500 Au
0.500 0.166 0.755 Au
0.000 0.834 0.255 Au
0.500 0.671 0.000 Au
0.000 0.834 0.745 Au
0.500 0.166 0.245 Au
0.000 0.342 0.000 Ho
0.500 0.658 0.500 Ho

***

[11]
HoAu6 (GGA-PBE, optimized geometry); space group = P4_2/ncm; Fermi-level density of states = 0.351 states/eV per atom; E_tot = -217.05 eV for the cell shown
1.0
9.949 0.000 0.000
0.000 10.467 0.000
0.000 0.000 10.467
Au Ho
48 8
direct
0.603 0.447 0.629 Au
0.571 0.600 0.100 Au
0.929 0.900 0.400 Au
0.429 0.900 0.600 Au
0.071 0.400 0.100 Au
0.397 0.053 0.129 Au
0.429 0.100 0.400 Au
0.828 0.764 0.930 Au
0.672 0.264 0.430 Au
0.672 0.070 0.236 Au
0.672 0.736 0.570 Au
0.328 0.570 0.264 Au
0.897 0.371 0.553 Au
0.328 0.430 0.736 Au
0.250 0.250 0.250 Au
0.819 0.500 0.000 Au
0.397 0.629 0.553 Au
0.750 0.250 0.750 Au
0.571 0.400 0.900 Au
0.328 0.236 0.930 Au
0.250 0.750 0.750 Au
0.103 0.553 0.629 Au
0.603 0.129 0.947 Au
0.603 0.871 0.053 Au
0.172 0.070 0.764 Au
0.828 0.430 0.264 Au
0.828 0.236 0.070 Au
0.828 0.570 0.736 Au
0.681 0.000 0.500 Au
0.897 0.947 0.129 Au
0.103 0.447 0.371 Au
0.603 0.553 0.371 Au
0.319 0.500 0.000 Au
0.672 0.930 0.764 Au
0.897 0.629 0.447 Au
0.103 0.129 0.053 Au
0.172 0.930 0.236 Au
0.172 0.264 0.570 Au
0.071 0.600 0.900 Au
0.929 0.100 0.600 Au
0.750 0.750 0.250 Au
0.897 0.053 0.871 Au
0.103 0.871 0.947 Au
0.397 0.371 0.447 Au
0.397 0.947 0.871 Au
0.172 0.736 0.430 Au
0.328 0.764 0.070 Au
0.181 0.000 0.500 Au
0.961 0.823 0.677 Ho
0.461 0.177 0.677 Ho
0.039 0.677 0.177 Ho
0.461 0.823 0.323 Ho
0.539 0.677 0.823 Ho
0.961 0.177 0.323 Ho
0.039 0.323 0.823 Ho
0.539 0.323 0.177 Ho